Entry from the Alexandria database: an optimized crystal structure of TbFe2PN (PBE).

## Properties
DFT total energy = -40.1 eV per formula unit
D(E_F) = 2.5 states/eV/f.u.
SG = Cmcm, No. 63
calculated density = 8.379 g/cm3

```
TbFe2PN
1.0
-1.573 2.677 -1.777
-3.847 -3.736 1.379
-1.049 3.205 5.758
N P Fe Tb
2 2 4 2
Cartesian
-0.524 1.603 2.879 N
0.000 0.000 0.000 N
-2.769 -0.496 1.705 P
-3.700 2.642 3.655 P
-3.935 -0.087 -0.248 Fe
-2.534 2.234 5.608 Fe
-4.346 1.167 2.005 Fe
-2.123 0.979 3.355 Fe
-1.467 1.923 0.595 Tb
-5.002 0.223 4.765 Tb
```



Entry from the Alexandria database: an optimized crystal structure of FeTePN2 (PBE).

## Properties
energy above the most stable polymorph in this dataset = 0.000 eV/atom
D(E_F) = 1.6 states/eV/f.u.
SG = P4/mmm, No. 123
calculated density = 5.196 g/cm3

```
FeTePN2
1.0
-3.577 0.453 -0.398
-0.974 -3.951 4.255
0.060 2.651 2.475
N P Te Fe
2 1 1 1
Cartesian
-1.789 0.226 -0.199 N
0.030 1.326 1.238 N
-2.246 -0.423 3.166 P
-0.487 -1.975 2.128 Te
0.000 0.000 0.000 Fe
```



Entry from the Alexandria database: an optimized crystal structure of FeTePN2 (PBE).

## Properties
energy above the most stable polymorph in this dataset = 0.103 eV/atom
D(E_F) = 4.8 states/eV/f.u.
SG = P4/mmm, No. 123
calculated density = 4.850 g/cm3

```
FeTePN2
1.0
3.481 0.000 0.000
0.000 3.481 0.000
0.000 0.000 6.849
Fe P N Te
1 1 2 1
Cartesian
1.741 1.741 3.424 Fe
0.000 0.000 0.000 P
1.741 0.000 0.000 N
0.000 1.741 0.000 N
0.000 0.000 3.424 Te
```



Entry from the Alexandria database: an optimized crystal structure of ThFe2PN (PBE).

## Properties
DFT total energy = -42.8 eV per formula unit
D(E_F) = 4.0 states/eV/f.u.
SG = Cmcm, No. 63
calculated density = 9.447 g/cm3

```
ThFe2PN
1.0
3.634 0.000 0.000
-1.817 5.461 0.000
0.000 0.000 6.886
N Fe P Th
2 4 2 2
Cartesian
0.000 0.000 0.000 N
0.000 0.000 3.443 N
1.817 3.514 0.407 Fe
1.817 3.514 3.035 Fe
0.000 1.947 3.850 Fe
0.000 1.947 6.478 Fe
0.000 2.898 1.721 P
1.817 2.563 5.164 P
1.817 0.431 1.721 Th
0.000 5.030 5.164 Th
```



Entry from the Alexandria database: an optimized crystal structure of PaFeN2 (PBE).

## Properties
energy above the most stable polymorph in this dataset = 0.012 eV/atom
D(E_F) = 1.7 states/eV/f.u.
SG = R-3m, No. 166
calculated density = 8.126 g/cm3

```
PaFeN2
1.0
-2.263 -2.486 -1.454
1.358 -2.834 -1.883
-0.035 -4.744 3.552
N Fe Pa
2 1 1
Cartesian
-0.816 -6.310 -1.782 N
-0.124 -3.754 1.998 N
0.000 0.000 0.000 Fe
-0.470 -5.032 0.108 Pa
```



Entry from the Alexandria database: an optimized crystal structure of Pa3FeN6 (PBE).

## Properties
DFT total energy = -100.0 eV per formula unit
SG = Cmc2_1, No. 36
calculated density = 9.871 g/cm3

```
Pa3FeN6
1.0
-2.470 1.122 4.697
1.065 -6.861 2.199
5.990 3.425 2.332
Pa N Fe
6 12 2
Cartesian
3.000 -0.133 4.289 Pa
-0.330 -1.284 3.045 Pa
-0.473 1.559 5.423 Pa
3.997 -3.391 5.824 Pa
3.854 -0.549 8.201 Pa
0.707 -1.783 6.609 Pa
2.997 -1.324 6.268 N
1.842 -1.105 2.477 N
4.082 -2.196 3.916 N
1.782 -3.851 6.197 N
5.270 3.126 3.226 N
0.757 -0.233 4.830 N
5.289 0.335 3.910 N
1.754 -4.502 2.916 N
-0.397 -5.570 5.455 N
-0.422 -2.777 4.782 N
3.085 1.408 2.494 N
3.342 1.955 5.340 N
5.017 1.433 2.335 Fe
0.772 -4.294 4.602 Fe
```



Entry from the Alexandria database: an optimized crystal structure of Pa2FeN4 (PBE).

## Properties
DFT total energy = -68.7 eV per formula unit
D(E_F) = 3.6 states/eV/f.u.
SG = Cmce, No. 64
calculated density = 11.087 g/cm3

```
Pa2FeN4
1.0
-3.516 3.605 1.120
-3.960 -3.840 -0.070
2.618 -2.797 5.336
N Fe Pa
8 2 4
Cartesian
0.718 -2.819 5.385 N
-5.575 -0.212 1.002 N
-1.727 -2.827 3.677 N
-3.130 -0.204 2.710 N
-1.040 -1.016 5.945 N
-3.818 -2.014 0.442 N
0.028 -0.648 2.174 N
-4.886 -2.383 4.213 N
-3.738 -0.117 0.525 Fe
0.000 0.000 0.000 Fe
-3.256 -4.486 4.220 Pa
-1.602 1.455 2.167 Pa
-1.666 -2.114 1.575 Pa
-3.191 -0.916 4.812 Pa
```



Entry from the Alexandria database: an optimized crystal structure of PaFeN2 (PBE).

## Properties
energy above the most stable polymorph in this dataset = 0.000 eV/atom
D(E_F) = 3.0 states/eV/f.u.
SG = P2_1/c, No. 14
calculated density = 9.240 g/cm3

```
PaFeN2
1.0
6.053 0.000 0.000
0.000 5.713 -2.936
0.000 0.169 6.458
Fe Pa N
4 4 8
Cartesian
2.086 4.409 -1.707 Fe
5.113 4.245 0.533 Fe
0.940 1.637 2.990 Fe
3.967 1.473 5.230 Fe
5.182 4.369 4.023 Pa
2.156 4.454 1.262 Pa
0.871 1.513 -0.500 Pa
3.897 1.428 2.261 Pa
1.122 5.085 3.179 N
5.449 1.975 4.048 N
4.149 3.739 2.106 N
3.630 4.747 -0.649 N
4.931 0.797 0.344 N
0.604 3.908 -0.525 N
1.904 2.144 1.417 N
2.423 1.136 4.172 N
```



Entry from the Alexandria database: an optimized crystal structure of PmPa2FeN5 (PBE).

## Properties
DFT total energy = -84.7 eV per formula unit
D(E_F) = 5.4 states/eV/f.u.
SG = I4/mcm, No. 140
calculated density = 10.277 g/cm3

```
PmPa2FeN5
1.0
6.505 0.000 0.000
0.000 6.505 0.000
-3.253 -3.253 5.597
N Fe Pa Pm
10 2 4 2
Cartesian
-0.943 -2.309 4.073 N
0.943 2.309 4.073 N
2.309 -0.943 4.073 N
-2.309 0.943 4.073 N
2.309 0.943 1.524 N
0.943 4.196 1.524 N
4.196 5.562 1.524 N
0.000 0.000 0.000 N
5.562 2.309 1.524 N
3.253 3.253 0.000 N
3.253 0.000 2.798 Fe
0.000 3.253 2.798 Fe
5.363 4.395 0.000 Pa
4.395 1.142 0.000 Pa
1.142 2.110 0.000 Pa
2.110 5.363 0.000 Pa
0.000 0.000 2.798 Pm
3.253 3.253 2.798 Pm
```



Entry from the Alexandria database: an optimized crystal structure of PmPaFeN3 (PBE).

## Properties
DFT total energy = -54.3 eV per formula unit
D(E_F) = 0.5 states/eV/f.u.
SG = P2_1/m, No. 11
calculated density = 8.914 g/cm3

```
PmPaFeN3
1.0
3.401 0.000 0.000
0.000 7.191 0.691
0.000 -2.039 7.023
N Fe Pm Pa
6 2 2 2
Cartesian
2.551 5.985 1.596 N
0.850 -0.832 6.118 N
0.850 4.862 4.326 N
2.551 0.290 3.388 N
2.551 2.830 1.261 N
0.850 2.322 6.453 N
0.850 -0.497 4.100 Fe
2.551 5.649 3.614 Fe
2.551 4.369 6.162 Pm
0.850 0.783 1.552 Pm
2.551 0.768 5.980 Pa
0.850 4.384 1.734 Pa
```



Entry from the Alexandria database: an optimized crystal structure of PmPaFeN4 (PBE).

## Properties
DFT total energy = -62.9 eV per formula unit
D(E_F) = 3.6 states/eV/f.u.
SG = I4mm, No. 107
calculated density = 9.469 g/cm3

```
PmPaFeN4
1.0
-1.048 3.566 0.293
-3.560 -1.070 0.291
2.901 -1.575 5.825
N Fe Pm Pa
4 1 1 1
Cartesian
-1.192 -0.856 6.171 N
0.223 -0.122 2.282 N
-1.906 1.031 4.365 N
0.065 1.462 6.172 N
-1.716 0.927 6.309 Fe
-2.134 1.155 2.034 Pm
0.431 -0.236 4.418 Pa
```



Entry from the Alexandria database: an optimized crystal structure of PrPa2FeN4 (PBE).

## Properties
DFT total energy = -76.0 eV per formula unit
D(E_F) = 2.5 states/eV/f.u.
SG = Cmcm, No. 63
calculated density = 10.230 g/cm3

```
PrPa2FeN4
1.0
-1.984 -0.458 2.822
0.973 -5.516 -2.356
9.411 -1.089 6.439
N Pr Pa Fe
8 2 4 2
Cartesian
4.705 -0.545 3.219 N
1.359 -1.149 2.914 N
7.041 -5.913 3.991 N
3.624 -3.490 1.982 N
4.776 -3.573 4.923 N
7.339 -3.870 6.677 N
1.061 -3.193 0.228 N
0.000 0.000 0.000 N
7.054 -1.991 4.636 Pr
1.346 -5.071 2.269 Pr
5.257 -4.836 2.911 Pa
8.832 -5.250 5.357 Pa
3.143 -2.227 3.994 Pa
-0.432 -1.813 1.548 Pa
6.053 -4.958 5.597 Fe
2.347 -2.104 1.309 Fe
```